w:
DFT (PBE) results for a relaxed Tl3WS crystal.

Size of the total moment   3.167 μB/f.u.

Structure (CIF):
```
data_Tl3WS
_cell_length_a 5.447
_cell_length_b 5.447
_cell_length_c 5.447
_cell_angle_alpha 90.00
_cell_angle_beta 90.00
_cell_angle_gamma 90.00
_symmetry_space_group_name_H-M 'P 1'
_symmetry_Int_Tables_number 1
loop_
_symmetry_equiv_pos_as_xyz
'x,y,z'
loop_
_atom_site_label
_atom_site_type_symbol
_atom_site_fract_x
_atom_site_fract_y
_atom_site_fract_z
Tl1 Tl 0.000 0.000 0.500
Tl2 Tl 0.000 0.500 0.000
Tl3 Tl 0.500 0.000 0.000
W1 W 0.000 0.000 0.000
S1 S 0.500 0.500 0.500
```



x:
DFT (PBE) results for a relaxed Tl3WS crystal.

Size of the total moment   4.579 μB/f.u.

Structure (CIF):
```
data_Tl3WS
_cell_length_a 5.525
_cell_length_b 5.525
_cell_length_c 5.525
_cell_angle_alpha 90.00
_cell_angle_beta 90.00
_cell_angle_gamma 90.00
_symmetry_space_group_name_H-M 'P 1'
_symmetry_Int_Tables_number 1
loop_
_symmetry_equiv_pos_as_xyz
'x,y,z'
loop_
_atom_site_label
_atom_site_type_symbol
_atom_site_fract_x
_atom_site_fract_y
_atom_site_fract_z
Tl1 Tl 0.000 0.000 0.500
Tl2 Tl 0.000 0.500 0.000
Tl3 Tl 0.500 0.000 0.000
W1 W 0.500 0.500 0.500
S1 S 0.000 0.000 0.000
```



Which of them is the most stable, and which is the least stable? w and x, in that order.